Entry 1:
Here is a relaxed LaZn11Co crystal from the Alexandria database. Energies are from PBE.

Cell: 5.0162 12.8004 6.8886 Å, 90.00 110.67 90.00°
Space group C2/m (No. 12)
Inequivalent atoms, fractional coordinates:
La (0.0000, 0.0000, 0.0000) x2
Zn (0.0000, 0.0000, 0.5000) x2
Zn (0.1059, 0.3906, 0.2295) x8
Zn (0.1972, 0.1722, 0.3629) x8
Zn (0.2500, 0.2500, 0.0000) x4
Co (0.0000, 0.5000, 0.5000) x2

Properties
* calculated formation energy: -0.180 eV per atom
* DOS at the Fermi energy: 10.69 states/eV/cell

***

Entry 2:
Here is a relaxed La4ZnCo crystal from the Alexandria database. Energies are from PBE.

Cell: 8.9666 8.9666 8.9666 Å, 90.00 90.00 90.00°
Space group F-43m (No. 216)
Inequivalent atoms, fractional coordinates:
La (0.1252, 0.1252, 0.1252) x16
Zn (0.2500, 0.2500, 0.7500) x4
Co (0.0000, 0.0000, 0.5000) x4

Properties
* calculated formation energy: 0.716 eV per atom
* E above lowest polymorph: 0.854 eV per atom
* DOS at the Fermi energy: 39.88 states/eV/cell

***

Entry 3:
Here is a relaxed La2ZnCo2 crystal from the Alexandria database. Energies are from PBE.

Cell: 9.6135 5.5879 7.9361 Å, 90.00 108.02 90.00°
Space group C2/c (No. 15)
Inequivalent atoms, fractional coordinates:
La (0.1448, 0.1543, 0.1496) x8
Zn (0.0000, 0.3730, 0.7500) x4
Co (0.1416, 0.3458, 0.5214) x8

Properties
* calculated formation energy: -0.179 eV per atom
* DOS at the Fermi energy: 15.56 states/eV/cell

***

Entry 4:
Here is a relaxed La2Zn2Co15 crystal from the Alexandria database. Energies are from PBE.

Cell: 8.4922 8.4922 12.2421 Å, 90.00 90.00 120.00°
Space group R-3m (No. 166, hexagonal axes)
Inequivalent atoms, fractional coordinates:
La (0.0000, 0.0000, 0.1506) x6
Zn (0.0000, 0.0000, 0.3986) x6
Co (0.0000, 0.2850, 0.5000) x18
Co (0.0000, 0.5000, 0.0000) x9
Co (0.0036, 0.5018, 0.3476) x18

Properties
* calculated formation energy: -0.037 eV per atom
* DOS at the Fermi energy: 76.98 states/eV/cell

***

Entry 5:
Here is a relaxed La6Zn2Co crystal from the Alexandria database. Energies are from PBE.

Cell: 3.7727 15.3415 8.8534 Å, 90.00 90.00 90.00°
Space group Amm2 (No. 38)
Inequivalent atoms, fractional coordinates:
La (0.0000, 0.0000, 0.0000) x2
La (0.0000, 0.1170, 0.6495) x4
La (0.5000, 0.0000, 0.3559) x2
La (0.5000, 0.2050, 0.9720) x4
Zn (0.0000, 0.1667, 0.2670) x4
Co (0.5000, 0.0000, 0.7653) x2

Properties
* calculated formation energy: -0.169 eV per atom
* DOS at the Fermi energy: 23.82 states/eV/cell

***

Entry 6:
Here is a relaxed LaZn8Co4 crystal from the Alexandria database. Energies are from PBE.

Cell: 8.8127 8.8127 4.9548 Å, 90.00 90.00 90.00°
Space group I4/mmm (No. 139)
Inequivalent atoms, fractional coordinates:
La (0.0000, 0.0000, 0.0000) x2
Zn (0.0000, 0.2327, 0.5000) x8
Zn (0.0000, 0.3447, 0.0000) x8
Co (0.2500, 0.2500, 0.2500) x8

Properties
* calculated formation energy: -0.142 eV per atom
* DOS at the Fermi energy: 19.18 states/eV/cell

***

Entry 7:
Here is a relaxed La8Zn2Co3 crystal from the Alexandria database. Energies are from PBE.

Cell: 8.2648 4.8765 9.7429 Å, 90.00 102.65 90.00°
Space group P2/m (No. 10)
Inequivalent atoms, fractional coordinates:
La (0.0264, 0.0000, 0.3306) x2
La (0.1768, 0.5000, 0.9145) x2
La (0.3160, 0.5000, 0.6006) x2
La (0.4130, 0.0000, 0.1505) x2
Zn (0.2281, 0.5000, 0.2634) x2
Co (0.0000, 0.5000, 0.5000) x1
Co (0.2887, 0.0000, 0.8073) x2

Properties
* calculated formation energy: -0.085 eV per atom
* DOS at the Fermi energy: 14.03 states/eV/cell

***

Entry 8:
Here is a relaxed La2Zn2Co crystal from the Alexandria database. Energies are from PBE.

Cell: 3.5673 3.5673 18.3097 Å, 90.00 90.00 90.00°
Space group I4/mmm (No. 139)
Inequivalent atoms, fractional coordinates:
La (0.0000, 0.0000, 0.0897) x4
Zn (0.0000, 0.5000, 0.2500) x4
Co (0.0000, 0.0000, 0.5000) x2

Properties
* calculated formation energy: -0.019 eV per atom
* E above lowest polymorph: 0.244 eV per atom
* DOS at the Fermi energy: 11.15 states/eV/cell

***

Entry 9:
Here is a relaxed La3Zn2Co2 crystal from the Alexandria database. Energies are from PBE.

Cell: 11.3518 3.8583 8.0202 Å, 90.00 111.05 90.00°
Space group C2/m (No. 12)
Inequivalent atoms, fractional coordinates:
La (0.0000, 0.0000, 0.0000) x2
La (0.1958, 0.0000, 0.6754) x4
Zn (0.0206, 0.5000, 0.3339) x4
Co (0.1944, 0.5000, 0.9281) x4

Properties
* calculated formation energy: -0.224 eV per atom
* DOS at the Fermi energy: 12.00 states/eV/cell

***

Entry 10:
Here is a relaxed LaZnCo2 crystal from the Alexandria database. Energies are from PBE.

Cell: 5.0241 4.0231 7.1102 Å, 90.00 90.00 90.00°
Space group Pmma (No. 51)
Inequivalent atoms, fractional coordinates:
La (0.2500, 0.0000, 0.1906) x2
Zn (0.2500, 0.5000, 0.8126) x2
Co (0.0000, 0.5000, 0.5000) x2
Co (0.2500, 0.0000, 0.5722) x2

Properties
* calculated formation energy: -0.194 eV per atom
* DOS at the Fermi energy: 8.88 states/eV/cell

***

Entry 11:
Here is a relaxed La2Zn2Co crystal from the Alexandria database. Energies are from PBE.

Cell: 6.8128 6.8128 4.8017 Å, 90.00 90.00 90.00°
Space group P4/mbm (No. 127)
Inequivalent atoms, fractional coordinates:
La (0.1752, 0.3248, 0.0000) x4
Zn (0.1378, 0.6378, 0.5000) x4
Co (0.0000, 0.0000, 0.5000) x2

Properties
* calculated formation energy: -0.002 eV per atom
* E above lowest polymorph: 0.261 eV per atom
* DOS at the Fermi energy: 11.79 states/eV/cell

***

Entry 12:
Here is a relaxed La2Zn4Co crystal from the Alexandria database. Energies are from PBE.

Cell: 4.6067 4.6067 15.3433 Å, 90.00 90.00 90.00°
Space group I4/mmm (No. 139)
Inequivalent atoms, fractional coordinates:
La (0.0000, 0.0000, 0.1435) x4
Zn (0.0000, 0.0000, 0.3474) x4
Zn (0.0000, 0.5000, 0.0000) x4
Co (0.0000, 0.0000, 0.5000) x2

Properties
* calculated formation energy: -0.121 eV per atom
* DOS at the Fermi energy: 15.49 states/eV/cell